Below is a geometry-optimized Ni2P3O9 structure, with properties calculated at the GGA+U level.

Computed properties:
E	-6.400	eV per atom
N(E_F)	13.921	states/eV/cell
total moment	0.216	μB per atom

Unit cell a=6.3566 b=6.3566 c=9.5896 alpha=90.00 beta=90.00 gamma=120.00
Closest atoms and distances in Å follow each position.
Sites, in units of the cell vectors:
Ni 0.3333 0.6667 0.0000  6 O 2.25
Ni 0.3333 0.6667 0.5000  6 O 2.25
Ni 0.6667 0.3333 0.0000  6 O 2.25
Ni 0.6667 0.3333 0.5000  6 O 2.25
P 0.0000 0.2692 0.2500  4 O 1.51-1.60
P 0.0000 0.7308 0.7500  4 O 1.51-1.60
P 0.2692 0.0000 0.2500  4 O 1.51-1.60
P 0.2692 0.2692 0.7500  4 O 1.51-1.60
P 0.7308 0.0000 0.7500  4 O 1.51-1.60
P 0.7308 0.7308 0.2500  4 O 1.51-1.60
O 0.0000 0.2274 0.7500  2 P 1.60
O 0.0000 0.3877 0.1134  1 P 1.51
O 0.0000 0.3877 0.3866  1 P 1.51
O 0.0000 0.6123 0.6134  1 P 1.51
O 0.0000 0.6123 0.8866  1 P 1.51
O 0.0000 0.7726 0.2500  2 P 1.60
O 0.2274 0.0000 0.7500  2 P 1.60
O 0.2274 0.2274 0.2500  2 P 1.60
O 0.3877 0.0000 0.1134  1 P 1.51
O 0.3877 0.0000 0.3866  1 P 1.51
O 0.3877 0.3877 0.6134  1 P 1.51
O 0.3877 0.3877 0.8866  1 P 1.51
O 0.6123 0.0000 0.6134  1 P 1.51
O 0.6123 0.0000 0.8866  1 P 1.51
O 0.6123 0.6123 0.1134  1 P 1.51
O 0.6123 0.6123 0.3866  1 P 1.51
O 0.7726 0.0000 0.2500  2 P 1.60
O 0.7726 0.7726 0.7500  2 P 1.60